PBE BeAgW2, optimized geometry; formation energy from the elements = 0.52 eV/atom; E_tot = -7.6016 eV per atom; size of the total moment = 0.00 μB/cell
1.0
-2.231 -1.073 2.523
2.315 -3.021 0.763
2.158 2.393 2.926
Ag Be W
1 1 2
Cartesian
-0.036 0.660 2.724
2.237 -0.314 1.844
0.042 -2.047 1.643
0.000 0.000 0.000